(1)
# Ca3Zn2In | the Alexandria database | PBE | optimized geometry
# Magnetization ... 0.000 μB/f.u.
# Mass density ... 3.87 Mg/m³
# Uncorrected energy ... -13.2 eV/cell
# Energy of formation ... -1.902 eV per formula unit
data_Ca3Zn2In
_symmetry_space_group_name_H-M 'P 4/m m m'
_symmetry_Int_Tables_number 123
_symmetry_space_group_name_Hall '-P 4 2'
_cell_length_a 3.748
_cell_length_b 3.748
_cell_length_c 11.177
_cell_angle_alpha 90.00
_cell_angle_beta 90.00
_cell_angle_gamma 90.00
loop_
_atom_site_label
_atom_site_fract_x
_atom_site_fract_y
_atom_site_fract_z
_atom_site_occupancy
Ca1 0.000 0.000 0.000 1
Ca2 0.000 0.000 0.321 1
Zn1 0.500 0.500 0.165 1
In1 0.500 0.500 0.500 1

(2)
# Ca2Zn5In | the Alexandria database | PBE | optimized geometry
# Magnetization ... 0.000 μB/f.u.
# Mass density ... 5.11 Mg/m³
# Uncorrected energy ... -60.9 eV/cell
# Energy of formation ... -2.115 eV per formula unit
data_Ca2Zn5In
_symmetry_space_group_name_H-M 'C m c m'
_symmetry_Int_Tables_number 63
_symmetry_space_group_name_Hall '-C 2c 2'
_cell_length_a 4.441
_cell_length_b 16.470
_cell_length_c 9.282
_cell_angle_alpha 90.00
_cell_angle_beta 90.00
_cell_angle_gamma 90.00
loop_
_atom_site_label
_atom_site_fract_x
_atom_site_fract_y
_atom_site_fract_z
_atom_site_occupancy
Ca1 0.000 0.000 0.000 1
Ca2 0.000 0.201 0.250 1
Zn1 0.000 0.187 0.610 1
Zn2 0.000 0.344 0.515 1
Zn3 0.000 0.391 0.250 1
In1 0.000 0.445 0.750 1

(3)
# Ca3Zn3In2 | the Alexandria database | PBE | optimized geometry
# Magnetization ... 0.000 μB/f.u.
# Mass density ... 4.40 Mg/m³
# Uncorrected energy ... -70.4 eV/cell
# Energy of formation ... -2.296 eV per formula unit
data_Ca3Zn3In2
_symmetry_space_group_name_H-M 'P n m a'
_symmetry_Int_Tables_number 62
_cell_length_a 8.651
_cell_length_b 15.442
_cell_length_c 6.171
_cell_angle_alpha 90.00
_cell_angle_beta 90.00
_cell_angle_gamma 90.00
loop_
_symmetry_equiv_pos_as_xyz
'x,y,z'
'-x,-y,-z'
'-x+1/2,-y,z+1/2'
'x+1/2,y,-z+1/2'
'x+1/2,-y+1/2,-z+1/2'
'-x+1/2,y+1/2,z+1/2'
'-x,y+1/2,-z'
'x,-y+1/2,z'
loop_
_atom_site_label
_atom_site_fract_x
_atom_site_fract_y
_atom_site_fract_z
_atom_site_occupancy
Ca1 0.049 0.109 0.128 1
Ca2 0.195 0.250 0.613 1
Zn1 0.165 0.750 0.637 1
Zn2 0.204 0.040 0.600 1
In1 0.090 0.604 0.378 1

(4)
# Ca2ZnIn3 | the Alexandria database | PBE | optimized geometry
# Energy above the most stable polymorph in this dataset ... 0.0 meV/atom
# Magnetization ... 0.000 μB/f.u.
# Mass density ... 5.24 Mg/m³
# Uncorrected energy ... -15.7 eV/cell
# Energy of formation ... -2.251 eV per formula unit
data_Ca2ZnIn3
_symmetry_space_group_name_H-M 'P m m 2'
_symmetry_Int_Tables_number 25
_cell_length_a 3.708
_cell_length_b 4.923
_cell_length_c 8.504
_cell_angle_alpha 90.00
_cell_angle_beta 90.00
_cell_angle_gamma 90.00
loop_
_symmetry_equiv_pos_as_xyz
'x,y,z'
'-x,-y,z'
'-x,y,z'
'x,-y,z'
loop_
_atom_site_label
_atom_site_fract_x
_atom_site_fract_y
_atom_site_fract_z
_atom_site_occupancy
Ca1 0.000 0.000 0.000 1
Ca2 0.000 0.500 0.489 1
Zn1 0.500 0.000 0.322 1
In1 0.500 0.000 0.644 1
In2 0.500 0.500 0.172 1
In3 0.500 0.500 0.828 1

(5)
# CaZn2In2 | the Alexandria database | PBE | optimized geometry
# Magnetization ... 0.000 μB/f.u.
# Mass density ... 5.64 Mg/m³
# Uncorrected energy ... -20.7 eV/cell
# Energy of formation ... -0.303 eV per formula unit
data_CaZn2In2
_symmetry_space_group_name_H-M 'P 4/m b m'
_symmetry_Int_Tables_number 127
_symmetry_space_group_name_Hall '-P 4 2ab'
_cell_length_a 8.251
_cell_length_b 8.251
_cell_length_c 3.467
_cell_angle_alpha 90.00
_cell_angle_beta 90.00
_cell_angle_gamma 90.00
loop_
_atom_site_label
_atom_site_fract_x
_atom_site_fract_y
_atom_site_fract_z
_atom_site_occupancy
Ca1 0.000 0.000 0.000 1
Zn1 0.166 0.334 0.500 1
In1 0.132 0.632 0.000 1

(6)
# Ca2Zn2In3 | the Alexandria database | PBE | optimized geometry
# Magnetization ... 0.000 μB/f.u.
# Mass density ... 5.20 Mg/m³
# Uncorrected energy ... -66.7 eV/cell
# Energy of formation ... -1.907 eV per formula unit
data_Ca2Zn2In3
_symmetry_space_group_name_H-M 'C m c m'
_symmetry_Int_Tables_number 63
_symmetry_space_group_name_Hall '-C 2c 2'
_cell_length_a 4.575
_cell_length_b 20.357
_cell_length_c 7.613
_cell_angle_alpha 90.00
_cell_angle_beta 90.00
_cell_angle_gamma 90.00
loop_
_atom_site_label
_atom_site_fract_x
_atom_site_fract_y
_atom_site_fract_z
_atom_site_occupancy
Ca1 0.000 0.053 0.250 1
Ca2 0.000 0.162 0.750 1
Zn1 0.000 0.312 0.565 1
In1 0.000 0.224 0.250 1
In2 0.000 0.435 0.065 1

(7)
# Ca3Zn4In2 | the Alexandria database | PBE | optimized geometry
# Magnetization ... 0.000 μB/f.u.
# Mass density ... 4.82 Mg/m³
# Uncorrected energy ... -39.2 eV/cell
# Energy of formation ... -3.021 eV per formula unit
data_Ca3Zn4In2
_symmetry_space_group_name_H-M 'C 1 2/m 1'
_symmetry_Int_Tables_number 12
_cell_length_a 10.988
_cell_length_b 4.695
_cell_length_c 8.971
_cell_angle_alpha 90.00
_cell_angle_beta 114.53
_cell_angle_gamma 90.00
loop_
_symmetry_equiv_pos_as_xyz
'x,y,z'
'-x,-y,-z'
'-x,y,-z'
'x,-y,z'
'x+1/2,y+1/2,z'
'-x+1/2,-y+1/2,-z'
'-x+1/2,y+1/2,-z'
'x+1/2,-y+1/2,z'
loop_
_atom_site_label
_atom_site_fract_x
_atom_site_fract_y
_atom_site_fract_z
_atom_site_occupancy
Ca1 0.000 0.000 0.000 1
Ca2 0.157 0.500 0.677 1
Zn1 0.069 0.000 0.411 1
Zn2 0.222 0.500 0.049 1
In1 0.126 0.500 0.290 1

(8)
# CaZn4In12 | the Alexandria database | PBE | optimized geometry
# Magnetization ... 0.000 μB/f.u.
# Mass density ... 6.17 Mg/m³
# Uncorrected energy ... -78.3 eV/cell
# Energy of formation ... 0.826 eV per formula unit
data_CaZn4In12
_symmetry_space_group_name_H-M 'I m -3'
_symmetry_Int_Tables_number 204
_symmetry_space_group_name_Hall '-I 2 2 3'
_cell_length_a 9.670
_cell_length_b 9.670
_cell_length_c 9.670
_cell_angle_alpha 90.00
_cell_angle_beta 90.00
_cell_angle_gamma 90.00
loop_
_atom_site_label
_atom_site_fract_x
_atom_site_fract_y
_atom_site_fract_z
_atom_site_occupancy
Ca1 0.000 0.000 0.000 1
Zn1 0.250 0.250 0.250 1
In1 0.000 0.159 0.346 1

> Look up the magnetization of the third one.

0.000 μB/f.u.